# 1
CaVFeP4O14 | GGA+U | relaxed

Properties
- final energy (eV per atom) = -7.31
- polymorph energy (0 for the lowest one) (eV/atom) = 0.011
- SG = P1

Unit cell a=4.9951 b=7.0688 c=8.3689 alpha=89.99 beta=90.23 gamma=106.06
Sites, in units of the cell vectors:
Ca (0.6975, 0.8398, 0.6076)
V (0.7919, 0.2882, 0.4870)
Fe (0.2121, 0.7287, 0.0022)
P (0.6262, 0.4950, 0.8180)
P (0.7591, 0.8935, 0.2241)
P (0.2562, 0.1109, 0.7317)
P (0.3749, 0.4969, 0.3013)
O (0.0081, 0.1663, 0.6580)
O (0.8381, 0.0540, 0.3520)
O (0.8603, 0.5256, 0.9374)
O (0.7237, 0.5033, 0.6418)
O (0.5426, 0.3483, 0.3257)
O (0.4666, 0.0857, 0.6033)
O (0.4197, 0.2784, 0.8529)
O (0.5853, 0.7131, 0.3462)
O (0.5615, 0.9166, 0.0921)
O (0.4573, 0.6484, 0.8248)
O (0.2857, 0.5092, 0.1297)
O (0.1414, 0.4795, 0.4240)
O (0.1436, 0.9181, 0.8228)
O (0.0119, 0.8338, 0.1675)

# 2
CaPaFeO6 | GGA+U | relaxed

Properties
- final energy (eV per atom) = -7.48
- SG = P312

Unit cell a=4.7439 b=5.4164 c=5.4164 alpha=120.00 beta=90.00 gamma=90.00
Sites, in units of the cell vectors:
Ca (0.5000, 0.6667, 0.3333)
Pa (0.0000, 0.3333, 0.6667)
Fe (0.5000, 0.0000, 0.0000)
O (0.7369, 0.6822, 0.7140)
O (0.7369, 0.2860, 0.9682)
O (0.7369, 0.0318, 0.3178)
O (0.2631, 0.2860, 0.3178)
O (0.2631, 0.6822, 0.9682)
O (0.2631, 0.0318, 0.7140)

# 3
Ca2PaFeO6 | GGA+U | relaxed

Properties
- final energy (eV per atom) = -7.55
- SG = P-1

Unit cell a=5.7590 b=5.7547 c=5.6465 alpha=59.25 beta=59.20 gamma=59.83
Sites, in units of the cell vectors:
Ca (0.5460, 0.5447, 0.3648)
Ca (0.0864, 0.0876, 0.7382)
Pa (0.8162, 0.8162, 0.5515)
Fe (0.3162, 0.3162, 0.0515)
O (0.5423, 0.1692, 0.3036)
O (0.1687, 0.9864, 0.3042)
O (0.9865, 0.5405, 0.3043)
O (0.4636, 0.6459, 0.7989)
O (0.6458, 0.0918, 0.7988)
O (0.0900, 0.4631, 0.7995)

# 4
Ca2FePbO6 | GGA+U | relaxed

Properties
- final energy (eV per atom) = -6.10
- SG = P2_1/c

Unit cell a=5.5181 b=5.8421 c=7.9151 alpha=90.00 beta=89.39 gamma=90.00
Sites, in units of the cell vectors:
Ca (0.0172, 0.9352, 0.2536)
Ca (0.5172, 0.5648, 0.7536)
Ca (0.9828, 0.0648, 0.7464)
Ca (0.4828, 0.4352, 0.2464)
Fe (0.5000, 0.0000, 0.5000)
Fe (0.0000, 0.5000, 0.0000)
Pb (0.5000, 0.0000, 0.0000)
Pb (0.0000, 0.5000, 0.5000)
O (0.2860, 0.6796, 0.0487)
O (0.7860, 0.8204, 0.5487)
O (0.7140, 0.3204, 0.9513)
O (0.2140, 0.1796, 0.4513)
O (0.3099, 0.7031, 0.4367)
O (0.8099, 0.7969, 0.9367)
O (0.6901, 0.2969, 0.5633)
O (0.1901, 0.2031, 0.0633)
O (0.8906, 0.5404, 0.2322)
O (0.3906, 0.9596, 0.7322)
O (0.1094, 0.4596, 0.7678)
O (0.6094, 0.0404, 0.2678)

# 5
CaPm2FeO6 | GGA+U | relaxed

Properties
- final energy (eV per atom) = -7.17
- SG = P4mm

Unit cell a=5.1320 b=5.3730 c=5.3730 alpha=90.00 beta=90.00 gamma=90.00
Sites, in units of the cell vectors:
Ca (0.5502, 0.5000, 0.5000)
Pm (0.9992, 0.5000, 0.0000)
Pm (0.9992, 0.0000, 0.5000)
Fe (0.6130, 0.0000, 0.0000)
O (0.7319, 0.2347, 0.2347)
O (0.7319, 0.2347, 0.7653)
O (0.1218, 0.5000, 0.5000)
O (0.2357, 0.0000, 0.0000)
O (0.7319, 0.7653, 0.7653)
O (0.7319, 0.7653, 0.2347)

# 6
CaPmFeO4 | GGA+U | relaxed

Properties
- final energy (eV per atom) = -7.06
- SG = P2_1/m

Unit cell a=5.8356 b=6.1288 c=6.6975 alpha=90.00 beta=113.54 gamma=90.00
Sites, in units of the cell vectors:
Ca (0.6947, 0.7500, 0.9597)
Ca (0.3053, 0.2500, 0.0403)
Pm (0.8300, 0.7500, 0.4910)
Pm (0.1700, 0.2500, 0.5090)
Fe (0.2562, 0.7500, 0.3063)
Fe (0.7438, 0.2500, 0.6937)
O (0.9941, 0.4703, 0.7347)
O (0.0059, 0.9703, 0.2653)
O (0.0059, 0.5297, 0.2653)
O (0.9941, 0.0297, 0.7347)
O (0.4698, 0.7500, 0.1587)
O (0.5302, 0.2500, 0.8413)
O (0.4914, 0.7500, 0.5972)
O (0.5086, 0.2500, 0.4028)

# 7
SrCaPrFeO6 | GGA+U | relaxed

Properties
- final energy (eV per atom) = -6.60
- SG = F-43m

Unit cell a=5.6987 b=5.6987 c=5.6987 alpha=60.00 beta=60.00 gamma=60.00
Sites, in units of the cell vectors:
Sr (0.7500, 0.7500, 0.7500)
Ca (0.0000, 0.0000, 0.0000)
Pr (0.2500, 0.2500, 0.2500)
Fe (0.5000, 0.5000, 0.5000)
O (0.2696, 0.7304, 0.2696)
O (0.7304, 0.2696, 0.7304)
O (0.2696, 0.7304, 0.7304)
O (0.7304, 0.2696, 0.2696)
O (0.2696, 0.2696, 0.7304)
O (0.7304, 0.7304, 0.2696)

# 8
CaFe2PtO | GGA+U | relaxed

Properties
- final energy (eV per atom) = -5.47
- SG = P4/mmm

Unit cell a=4.2524 b=4.5545 c=4.2524 alpha=90.00 beta=90.00 gamma=90.00
Sites, in units of the cell vectors:
O (0.0000, 0.0000, 0.0000)
Ca (0.0000, 0.5000, 0.0000)
Fe (0.0000, 0.0000, 0.5000)
Fe (0.5000, 0.0000, 0.0000)
Pt (0.5000, 0.5000, 0.5000)

# 9
Ca2PuFeO6 | GGA+U | relaxed

Properties
- final energy (eV per atom) = -7.81
- SG = P4mm

Unit cell a=4.4054 b=5.6800 c=5.6800 alpha=90.00 beta=90.00 gamma=90.00
Sites, in units of the cell vectors:
Ca (0.0287, 0.5000, 0.0000)
Ca (0.0287, 0.0000, 0.5000)
Pu (0.6423, 0.0000, 0.0000)
Fe (0.6047, 0.5000, 0.5000)
O (0.7030, 0.2563, 0.2563)
O (0.7030, 0.2563, 0.7437)
O (0.1819, 0.5000, 0.5000)
O (0.1485, 0.0000, 0.0000)
O (0.7030, 0.7437, 0.7437)
O (0.7030, 0.7437, 0.2563)

# 10
CaPuFeO6 | GGA+U | relaxed

Properties
- final energy (eV per atom) = -8.02
- SG = P-31c

Unit cell a=5.3438 b=5.3438 c=10.1230 alpha=90.00 beta=90.00 gamma=120.00
Sites, in units of the cell vectors:
Ca (0.0000, 0.0000, 0.0000)
Ca (0.0000, 0.0000, 0.5000)
Pu (0.3333, 0.6667, 0.2500)
Pu (0.6667, 0.3333, 0.7500)
Fe (0.6667, 0.3333, 0.2500)
Fe (0.3333, 0.6667, 0.7500)
O (0.6372, 0.6412, 0.1423)
O (0.0040, 0.3628, 0.1423)
O (0.3628, 0.0040, 0.6423)
O (0.9960, 0.6372, 0.8577)
O (0.3588, 0.3628, 0.3577)
O (0.0040, 0.6412, 0.3577)
O (0.6412, 0.0040, 0.8577)
O (0.6372, 0.9960, 0.3577)
O (0.9960, 0.3588, 0.6423)
O (0.3588, 0.9960, 0.1423)
O (0.6412, 0.6372, 0.6423)
O (0.3628, 0.3588, 0.8577)

# 11
CaPuFe2O6 | GGA+U | relaxed

Properties
- final energy (eV per atom) = -7.91
- SG = P2_1/c

Unit cell a=5.6761 b=5.5998 c=8.2423 alpha=90.00 beta=91.30 gamma=90.00
Sites, in units of the cell vectors:
Ca (0.5000, 0.0000, 0.0000)
Ca (0.0000, 0.5000, 0.5000)
Pu (0.5000, 0.0000, 0.5000)
Pu (0.0000, 0.5000, 0.0000)
Fe (0.9685, 0.9768, 0.2766)
Fe (0.4685, 0.5232, 0.7766)
Fe (0.0315, 0.0232, 0.7234)
Fe (0.5315, 0.4768, 0.2234)
O (0.3276, 0.6469, 0.0555)
O (0.8276, 0.8531, 0.5555)
O (0.6724, 0.3531, 0.9445)
O (0.1724, 0.1469, 0.4445)
O (0.3775, 0.6951, 0.4036)
O (0.8775, 0.8049, 0.9036)
O (0.6225, 0.3049, 0.5964)
O (0.1225, 0.1951, 0.0964)
O (0.8703, 0.6307, 0.2345)
O (0.3703, 0.8693, 0.7345)
O (0.1297, 0.3693, 0.7655)
O (0.6297, 0.1307, 0.2655)

# 12
Rb2CaFeO4 | GGA+U | relaxed

Properties
- final energy (eV per atom) = -5.18
- SG = Fddd

Unit cell a=5.8030 b=6.9880 c=11.6545 alpha=84.07 beta=75.58 gamma=65.47
Sites, in units of the cell vectors:
Rb (0.1927, 0.0000, 0.6147)
Rb (0.8073, 0.0000, 0.3853)
Rb (0.5573, 0.5000, 0.8853)
Rb (0.9427, 0.5000, 0.1147)
Ca (0.7500, 0.5000, 0.5000)
Ca (0.0000, 0.0000, 0.0000)
Fe (0.2500, 0.5000, 0.5000)
Fe (0.5000, 0.0000, 0.0000)
O (0.3556, 0.8132, 0.0643)
O (0.2331, 0.1868, 0.9357)
O (0.8312, 0.8132, 0.9357)
O (0.5801, 0.1868, 0.0643)
O (0.3944, 0.6868, 0.4357)
O (0.5169, 0.3132, 0.5643)
O (0.9188, 0.6868, 0.5643)
O (0.1699, 0.3132, 0.4357)

# 13
CaFeReO6 | GGA+U | relaxed

Properties
- final energy (eV per atom) = -7.39
- SG = Pc

Unit cell a=5.4902 b=5.3583 c=9.3502 alpha=54.99 beta=90.00 gamma=90.00
Sites, in units of the cell vectors:
Re (0.2399, 0.4956, 0.0015)
Re (0.7601, 0.4956, 0.5015)
Ca (0.3047, 0.2349, 0.7526)
Ca (0.6953, 0.2349, 0.2526)
Fe (0.7561, 0.9915, 0.0015)
Fe (0.2439, 0.9915, 0.5015)
O (0.7669, 0.6605, 0.2586)
O (0.2606, 0.3191, 0.2418)
O (0.7394, 0.3191, 0.7418)
O (0.2331, 0.6605, 0.7586)
O (0.4588, 0.1966, 0.0295)
O (0.9495, 0.8272, 0.4577)
O (0.0505, 0.8272, 0.9577)
O (0.5412, 0.1966, 0.5295)
O (0.5194, 0.7444, 0.9677)
O (0.0384, 0.2636, 0.5415)
O (0.4806, 0.7444, 0.4677)
O (0.9616, 0.2636, 0.0415)

# 14
Ca2FeReO6 | GGA+U | relaxed

Properties
- final energy (eV per atom) = -7.38
- polymorph energy (0 for the lowest one) (eV/atom) = 0.000
- SG = P2_1/c

Unit cell a=5.4677 b=5.7169 c=7.7346 alpha=90.00 beta=89.85 gamma=90.00
Sites, in units of the cell vectors:
Ca (0.0126, 0.9403, 0.7517)
Ca (0.4874, 0.4403, 0.7483)
Ca (0.9874, 0.0597, 0.2483)
Ca (0.5126, 0.5597, 0.2517)
Fe (0.0000, 0.5000, 0.0000)
Fe (0.5000, 0.0000, 0.5000)
Re (0.5000, 0.0000, 0.0000)
Re (0.0000, 0.5000, 0.5000)
O (0.0961, 0.4670, 0.2558)
O (0.4039, 0.9670, 0.2442)
O (0.9039, 0.5330, 0.7442)
O (0.5961, 0.0330, 0.7558)
O (0.7881, 0.8158, 0.0457)
O (0.7119, 0.3158, 0.4543)
O (0.2119, 0.1842, 0.9543)
O (0.2881, 0.6842, 0.5457)
O (0.3204, 0.7171, 0.9471)
O (0.1796, 0.2171, 0.5529)
O (0.8204, 0.7829, 0.4471)
O (0.6796, 0.2829, 0.0529)

# 15
Ca2FeReO6 | GGA+U | relaxed

Properties
- final energy (eV per atom) = -7.23
- polymorph energy (0 for the lowest one) (eV/atom) = 0.145
- SG = P4/mmm

Unit cell a=3.8890 b=5.5943 c=5.5943 alpha=90.00 beta=90.00 gamma=90.00
Sites, in units of the cell vectors:
Ca (0.1444, 0.5000, 0.0000)
Ca (0.1444, 0.0000, 0.5000)
Fe (0.6447, 0.5000, 0.5000)
Re (0.6447, 0.0000, 0.0000)
O (0.6448, 0.2454, 0.2454)
O (0.6448, 0.2454, 0.7546)
O (0.1447, 0.5000, 0.5000)
O (0.1447, 0.0000, 0.0000)
O (0.6448, 0.7546, 0.7546)
O (0.6448, 0.7546, 0.2454)

# 16
CaFeRh2O | GGA+U | relaxed

Properties
- final energy (eV per atom) = -5.75
- SG = P4/mmm

Unit cell a=4.2548 b=4.3548 c=4.2548 alpha=90.00 beta=90.00 gamma=90.00
Sites, in units of the cell vectors:
Ca (0.0000, 0.5000, 0.0000)
Rh (0.0000, 0.0000, 0.5000)
Rh (0.5000, 0.0000, 0.0000)
Fe (0.5000, 0.5000, 0.5000)
O (0.0000, 0.0000, 0.0000)

# 17
CaFeRh2O6 | GGA+U | relaxed

Properties
- final energy (eV per atom) = -6.37
- SG = R3

Unit cell a=5.2720 b=5.2721 c=5.5908 alpha=61.87 beta=61.86 gamma=59.99
Sites, in units of the cell vectors:
Ca (0.8024, 0.8024, 0.5927)
Fe (0.3222, 0.3223, 0.0332)
Rh (0.5180, 0.5180, 0.4460)
Rh (0.0098, 0.0099, 0.9705)
O (0.6053, 0.2503, 0.2251)
O (0.2502, 0.9193, 0.2251)
O (0.9194, 0.6052, 0.2252)
O (0.3746, 0.7098, 0.7657)
O (0.7097, 0.1499, 0.7658)
O (0.1499, 0.3746, 0.7659)

# 18
Ca2FeRhO6 | GGA+U | relaxed

Properties
- final energy (eV per atom) = -6.34
- SG = C2

Unit cell a=6.5076 b=6.5076 c=6.3790 alpha=87.58 beta=87.58 gamma=92.17
Sites, in units of the cell vectors:
Ca (0.3828, 0.6172, 0.5000)
Ca (0.6259, 0.3741, 0.0000)
Ca (0.8789, 0.7638, 0.6440)
Ca (0.2362, 0.1211, 0.3560)
Fe (0.7444, 0.2556, 0.5000)
Fe (0.2588, 0.7412, 0.0000)
Rh (0.0020, 0.5063, 0.2472)
Rh (0.4937, 0.9980, 0.7528)
O (0.2058, 0.8750, 0.7145)
O (0.4112, 0.0429, 0.0395)
O (0.5345, 0.6959, 0.8340)
O (0.9571, 0.5888, 0.9605)
O (0.1250, 0.7942, 0.2855)
O (0.3041, 0.4655, 0.1660)
O (0.7866, 0.1035, 0.7637)
O (0.5706, 0.9582, 0.4604)
O (0.4678, 0.2918, 0.6419)
O (0.0418, 0.4294, 0.5396)
O (0.7082, 0.5322, 0.3581)
O (0.8965, 0.2134, 0.2363)

# 19
Ca3FeRhO6 | GGA+U | relaxed

Properties
- final energy (eV per atom) = -6.56
- SG = R-3c

Unit cell a=6.4605 b=6.4605 c=6.4605 alpha=91.31 beta=91.31 gamma=91.31
Sites, in units of the cell vectors:
Ca (0.6182, 0.8818, 0.2500)
Ca (0.2500, 0.6182, 0.8818)
Ca (0.8818, 0.2500, 0.6182)
Ca (0.3818, 0.1182, 0.7500)
Ca (0.1182, 0.7500, 0.3818)
Ca (0.7500, 0.3818, 0.1182)
Fe (0.2500, 0.2500, 0.2500)
Fe (0.7500, 0.7500, 0.7500)
Rh (0.0000, 0.0000, 0.0000)
Rh (0.5000, 0.5000, 0.5000)
O (0.7997, 0.6013, 0.4631)
O (0.6013, 0.4631, 0.7997)
O (0.4631, 0.7997, 0.6013)
O (0.0369, 0.8987, 0.7003)
O (0.8987, 0.7003, 0.0369)
O (0.7003, 0.0369, 0.8987)
O (0.2003, 0.3987, 0.5369)
O (0.3987, 0.5369, 0.2003)
O (0.5369, 0.2003, 0.3987)
O (0.9631, 0.1013, 0.2997)
O (0.2997, 0.9631, 0.1013)
O (0.1013, 0.2997, 0.9631)